No. 1
# Cu4Au5 PBE-GGA relaxed
data_Cu4Au5
_cell_length_a 8.554
_cell_length_b 8.554
_cell_length_c 3.849
_cell_angle_alpha 90.00
_cell_angle_beta 90.00
_cell_angle_gamma 90.00
_space_group_name_H-M_alt 'I 4/m m m'
_space_group_IT_number 139
_space_group_name_Hall '-I 4 2'
loop_
_atom_site_label
_atom_site_type_symbol
_atom_site_fract_x
_atom_site_fract_y
_atom_site_fract_z
_atom_site_occupancy
Cu1 Cu 0.000 0.349 0.000 1
Au1 Au 0.000 0.000 0.000 1
Au2 Au 0.170 0.170 0.500 1
# **V**: 282 Å³/cell
# **Energy above the lowest structure with this stoichiometry**: 0.0336 eV per atom
# **DOS at the Fermi energy**: 0.21 states/eV/atom
# **Energy of formation**: 1 meV/atom
# **Magnetization**: 0.00 μB per cell

---

No. 2
# CuAu5 PBE-GGA relaxed
data_CuAu5
_cell_length_a 5.4255
_cell_length_b 5.4255
_cell_length_c 4.7590
_cell_angle_alpha 90.00
_cell_angle_beta 90.00
_cell_angle_gamma 120.00
_space_group_name_H-M_alt 'P 6/m m m'
_space_group_IT_number 191
_space_group_name_Hall '-P 6 2'
loop_
_atom_site_label
_atom_site_type_symbol
_atom_site_fract_x
_atom_site_fract_y
_atom_site_fract_z
_atom_site_occupancy
Cu1 Cu 0.0000 0.0000 0.0000 1
Au1 Au 0.0000 0.5000 0.5000 1
Au2 Au 0.3333 0.6667 0.0000 1
# **V**: 121 Å³/cell
# **Energy above the lowest structure with this stoichiometry**: 0.2591 eV per atom
# **DOS at the Fermi energy**: 0.02 states/eV/atom
# **Energy of formation**: 246 meV/atom
# **Magnetization**: 0.00 μB per cell

---

No. 3
# CuAu6 PBE-GGA relaxed
data_CuAu6
_cell_length_a 4.6127
_cell_length_b 4.6127
_cell_length_c 19.9095
_cell_angle_alpha 90.00
_cell_angle_beta 90.00
_cell_angle_gamma 120.00
_space_group_name_H-M_alt 'R -3 m'
_space_group_IT_number 166
_space_group_name_Hall '-R 3 2"'
loop_
_atom_site_label
_atom_site_type_symbol
_atom_site_fract_x
_atom_site_fract_y
_atom_site_fract_z
_atom_site_occupancy
Cu1 Cu 0.0000 0.0000 0.0000 1
Au1 Au 0.0000 0.0000 0.1396 1
Au2 Au 0.0000 0.0000 0.2884 1
Au3 Au 0.0000 0.0000 0.4281 1
# **V**: 367 Å³/cell
# **Energy above the lowest structure with this stoichiometry**: 0.0000 eV per atom
# **DOS at the Fermi energy**: 0.21 states/eV/atom
# **Energy of formation**: 26 meV/atom
# **Magnetization**: 0.00 μB per cell

---

No. 4
# Cu3Au4 PBE-GGA relaxed
data_Cu3Au4
_cell_length_a 7.211
_cell_length_b 4.770
_cell_length_c 7.373
_cell_angle_alpha 90.00
_cell_angle_beta 118.47
_cell_angle_gamma 90.00
_space_group_name_H-M_alt 'C 1 2/m 1'
_space_group_IT_number 12
loop_
_space_group_symop_operation_xyz
'x,y,z'
'-x,-y,-z'
'-x,y,-z'
'x,-y,z'
'x+1/2,y+1/2,z'
'-x+1/2,-y+1/2,-z'
'-x+1/2,y+1/2,-z'
'x+1/2,-y+1/2,z'
loop_
_atom_site_label
_atom_site_type_symbol
_atom_site_fract_x
_atom_site_fract_y
_atom_site_fract_z
_atom_site_occupancy
Cu1 Cu 0.000 0.000 0.000 1
Cu2 Cu 0.142 0.000 0.435 1
Au1 Au 0.067 0.500 0.705 1
Au2 Au 0.222 0.500 0.142 1
# **V**: 223 Å³/cell
# **Energy above the lowest structure with this stoichiometry**: 0.0526 eV per atom
# **DOS at the Fermi energy**: 0.27 states/eV/atom
# **Energy of formation**: 30 meV/atom
# **Magnetization**: 0.00 μB per cell

---

No. 5
# Cu5Au4 PBE-GGA relaxed
data_Cu5Au4
_cell_length_a 4.663
_cell_length_b 4.870
_cell_length_c 6.243
_cell_angle_alpha 73.86
_cell_angle_beta 81.72
_cell_angle_gamma 82.08
_space_group_name_H-M_alt 'P -1'
_space_group_IT_number 2
loop_
_space_group_symop_operation_xyz
'x,y,z'
'-x,-y,-z'
loop_
_atom_site_label
_atom_site_type_symbol
_atom_site_fract_x
_atom_site_fract_y
_atom_site_fract_z
_atom_site_occupancy
Cu1 Cu 0.000 0.000 0.000 1
Cu2 Cu 0.114 0.557 0.789 1
Cu3 Cu 0.226 0.094 0.562 1
Au1 Au 0.299 0.661 0.352 1
Au2 Au 0.437 0.219 0.119 1
# **V**: 134 Å³/cell
# **Energy above the lowest structure with this stoichiometry**: 0.0275 eV per atom
# **DOS at the Fermi energy**: 0.27 states/eV/atom
# **Energy of formation**: -12 meV/atom
# **Magnetization**: 0.00 μB per cell

---

No. 6
# Cu4Au PBE-GGA relaxed
data_Cu4Au
_cell_length_a 6.615
_cell_length_b 4.946
_cell_length_c 4.471
_cell_angle_alpha 90.00
_cell_angle_beta 99.15
_cell_angle_gamma 90.00
_space_group_name_H-M_alt 'P 1 2/c 1'
_space_group_IT_number 13
loop_
_space_group_symop_operation_xyz
'x,y,z'
'-x,-y,-z'
'-x,y,-z+1/2'
'x,-y,z+1/2'
loop_
_atom_site_label
_atom_site_type_symbol
_atom_site_fract_x
_atom_site_fract_y
_atom_site_fract_z
_atom_site_occupancy
Cu1 Cu 0.162 0.118 0.458 1
Cu2 Cu 0.163 0.384 0.945 1
Au1 Au 0.500 0.208 0.250 1
# **V**: 144 Å³/cell
# **Energy above the lowest structure with this stoichiometry**: 0.1515 eV per atom
# **DOS at the Fermi energy**: 0.27 states/eV/atom
# **Energy of formation**: 125 meV/atom
# **Magnetization**: 0.00 μB per cell